1.
Hf6ZrIn, optimized geometry, DFT GGA-PBE; total magnetic moment = 0.00 Bohr magnetons per cell; polymorph energy (0 for the lowest one) = 80 meV per atom; ΔH_f (0 K) = 2.49 kJ/mol of atoms; SG = No. 148
1.0
-7.3453 0.7708 -2.6980
-1.6731 -1.0636 -7.8237
-3.4692 -3.3031 -2.9716
Hf Zr In
6 1 1
direct
0.2500 0.0200 0.2385
0.0188 0.5084 0.2230
0.5087 0.7501 0.7222
0.7500 0.9800 0.7615
0.4913 0.2499 0.2778
0.9812 0.4916 0.7770
0.5000 0.5000 0.5000
0.0000 0.0000 0.0000

---

2.
Mg2InCo, optimized geometry, DFT GGA-PBE; total magnetic moment = 0.71 Bohr magnetons per cell; ΔH_f (0 K) = 5.83 kJ/mol of atoms; SG = No. 12
1.0
5.4948 0.0282 0.0104
4.4772 3.1856 0.0104
1.8976 0.6116 4.1036
Mg Co In
2 1 1
direct
0.9680 0.9680 0.0318
0.5320 0.5320 0.4682
0.2500 0.2500 0.2500
0.7500 0.7500 0.7500